Entry 1:
A plane-wave DFT calculation with PBE was carried out for a relaxed structure of SrPRu2.

POSCAR file:
```
SrPRu2
1.0
0.8018 5.6052 2.1230
-2.9977 5.2408 0.3407
-2.3216 3.6838 4.1961
Sr Ru P
1 2 1
direct
0.0000 0.0000 0.0000
0.1897 0.1897 0.1897
0.8103 0.8103 0.8103
0.5000 0.5000 0.5000
```

Values from the calculation:
DFT total energy ... -0.4867 Ry per atom
ΔH_f (0 K) ... -211 meV/atom

=====

Entry 2:
A plane-wave DFT calculation with PBE was carried out for a relaxed structure of GaGe2Rh3.

POSCAR file:
```
GaGe2Rh3
1.0
5.0789 0.0000 0.0000
0.0000 5.7562 -0.0505
-2.5395 -1.4949 6.1922
Ge Rh Ga
4 6 2
direct
0.3200 0.4256 0.6875
0.6800 0.5744 0.3125
0.6325 0.0744 0.3125
0.3675 0.9256 0.6875
0.2101 0.5909 0.3588
0.1486 0.0909 0.3588
0.7899 0.4091 0.6412
0.6570 0.2500 0.0000
0.3430 0.7500 0.0000
0.8514 0.9091 0.6412
0.8547 0.7500 0.0000
0.1453 0.2500 0.0000
```

Values from the calculation:
DFT total energy ... -0.4516 Ry per atom
ΔH_f (0 K) ... -425 meV/atom

=====

Entry 3:
A plane-wave DFT calculation with PBE was carried out for a relaxed structure of BaPdRhO4.

POSCAR file:
```
BaPdRhO4
1.0
-0.5569 -5.0783 3.3783
-2.0351 -0.6168 -6.8146
6.1534 0.0012 1.0162
O Pd Rh Ba
8 2 2 2
direct
0.3144 0.6288 0.7721
0.6934 0.9837 0.2418
0.3066 0.0163 0.7582
0.3144 0.6288 0.3567
0.2903 0.9837 0.2418
0.6856 0.3712 0.2279
0.6856 0.3712 0.6433
0.7097 0.0163 0.7582
0.5000 0.5000 0.5000
0.0000 0.5000 0.5000
0.5000 0.0000 0.5000
0.5000 0.0000 0.0000
0.1523 0.3045 0.9023
0.8477 0.6955 0.0977
```

Values from the calculation:
DFT total energy ... -0.4434 Ry per atom

=====

Entry 4:
A plane-wave DFT calculation with PBE was carried out for a relaxed structure of La4PmNd3Te8.

POSCAR file:
```
La4PmNd3Te8
1.0
-7.6420 2.0891 4.4630
-3.4609 -8.0893 -2.1395
8.0271 0.5479 4.2252
La Pm Te Nd
4 1 8 3
direct
0.0000 0.0000 0.0000
0.5000 0.0000 0.0000
0.5000 0.0000 0.5000
0.0000 0.0000 0.5000
0.0000 0.5000 0.0000
0.2476 0.7445 0.4952
0.2507 0.2556 0.0031
0.7493 0.7444 0.9969
0.2516 0.2547 0.5032
0.7524 0.2555 0.5048
0.7484 0.7453 0.4968
0.2475 0.7444 0.9969
0.7525 0.2556 0.0031
0.0000 0.5000 0.5000
0.5000 0.5000 0.0000
0.5000 0.5000 0.5000
```

Values from the calculation:
DFT total energy ... -0.4044 Ry per atom

=====

Entry 5:
A plane-wave DFT calculation with PBE was carried out for a relaxed structure of Ba2IrBr.

POSCAR file:
```
Ba2IrBr
1.0
8.8352 0.0181 0.0415
-3.6000 4.3338 -0.0277
1.6352 1.3790 3.1673
Br Ba Ir
1 2 1
direct
0.0000 0.5000 0.5000
0.0000 0.0000 0.0000
0.5000 0.0000 0.5000
0.5000 0.5000 0.0000
```

Values from the calculation:
DFT total energy ... -0.3136 Ry per atom
Energy relative to the lowest polymorph listed for this composition ... 17.92 kJ/mol of atoms

=====

Entry 6:
A plane-wave DFT calculation with PBE was carried out for a relaxed structure of Ce5Bi2OsC.

POSCAR file:
```
Ce5Bi2OsC
1.0
-0.3990 -1.9242 -4.2572
2.2034 -3.8452 1.5314
-10.0181 -4.5480 2.9946
Ce C Bi Os
5 1 2 1
direct
0.5000 0.5000 0.0000
0.5000 0.0000 0.5000
0.0000 0.0000 0.7756
0.0000 0.0000 0.2244
0.0000 0.5000 0.5000
0.0000 0.0000 0.5000
0.5000 0.5000 0.2873
0.5000 0.5000 0.7127
0.0000 0.0000 0.0000
```

Values from the calculation:
DFT total energy ... -0.4965 Ry per atom
ΔH_f (0 K) ... -324 meV/atom

=====

Entry 7:
A plane-wave DFT calculation with PBE was carried out for a relaxed structure of BaSrCu2.

POSCAR file:
```
BaSrCu2
1.0
8.1859 0.1957 -0.0531
5.7754 5.8044 0.0531
-6.9621 -3.0431 3.0525
Cu Ba Sr
2 1 1
direct
0.8422 0.3422 0.5000
0.9166 0.9166 0.0000
0.2502 0.7502 0.5000
0.4910 0.4910 0.0000
```

Values from the calculation:
DFT total energy ... -0.2160 Ry per atom
ΔH_f (0 K) ... 10 meV/atom
Energy relative to the lowest polymorph listed for this composition ... 5.47 kJ/mol of atoms

=====

Entry 8:
A plane-wave DFT calculation with PBE was carried out for a relaxed structure of La6InGa2.

POSCAR file:
```
La6InGa2
1.0
-5.1291 4.1233 -0.4364
-3.4691 -3.5445 7.2838
3.9243 7.3525 5.4470
La Ga In
12 4 2
direct
0.8644 0.6480 0.5580
0.0919 0.3034 0.0669
0.8514 0.9469 0.2102
0.4081 0.8034 0.4331
0.1356 0.3520 0.4420
0.6356 0.1480 0.9420
0.9081 0.6966 0.9331
0.5919 0.1966 0.5669
0.3514 0.5531 0.7102
0.6486 0.4469 0.2898
0.3644 0.8520 0.0580
0.1486 0.0531 0.7898
0.0797 0.6219 0.2385
0.4203 0.1219 0.2615
0.5797 0.8781 0.7385
0.9203 0.3781 0.7615
0.0000 0.0000 0.5000
0.5000 0.5000 0.0000
```

Values from the calculation:
DFT total energy ... -0.3333 Ry per atom
ΔH_f (0 K) ... -273 meV/atom
Energy relative to the lowest polymorph listed for this composition ... 10.76 kJ/mol of atoms